Record 1
Here is a geometry-optimized Tb3Sm12Th structure from the Alexandria database. Energies are from PBE.

Values from the calculation:
ΔH_f (0 K) = 0.4 eV/f.u.
space group = P4/mmm
total magnetic moment = 0.000 μB per atom
crystal system = tetragonal

CIF file:
```
data_Tb3Sm12Th
_cell_length_a 5.108
_cell_length_b 5.108
_cell_length_c 20.437
_cell_angle_alpha 90.00
_cell_angle_beta 90.00
_cell_angle_gamma 90.00
_symmetry_space_group_name_H-M 'P 1'
_symmetry_Int_Tables_number 1
loop_
_symmetry_equiv_pos_as_xyz
'x,y,z'
loop_
_atom_site_label
_atom_site_type_symbol
_atom_site_fract_x
_atom_site_fract_y
_atom_site_fract_z
_atom_site_occupancy
Sm1 Sm 0.500 0.500 0.251 1
Sm2 Sm 0.000 0.500 0.123 1
Sm3 Sm 0.500 0.000 0.375 1
Sm4 Sm 0.500 0.000 0.877 1
Sm5 Sm 0.500 0.000 0.123 1
Sm6 Sm 0.000 0.500 0.375 1
Sm7 Sm 0.000 0.500 0.625 1
Sm8 Sm 0.500 0.000 0.625 1
Sm9 Sm 0.000 0.500 0.877 1
Sm10 Sm 0.500 0.500 0.500 1
Sm11 Sm 0.500 0.500 0.749 1
Sm12 Sm 0.500 0.500 0.000 1
Tb1 Tb 0.000 0.000 0.500 1
Tb2 Tb 0.000 0.000 0.750 1
Tb3 Tb 0.000 0.000 0.250 1
Th1 Th 0.000 0.000 0.000 1
```

=====

Record 2
Here is a geometry-optimized LiZrSn2 structure from the Alexandria database. Energies are from PBE.

Values from the calculation:
energy relative to the lowest polymorph listed for this composition = 0 meV/atom
ΔH_f (0 K) = -1.4 eV/f.u.
space group = P4/mmm
total magnetic moment = 0.000 μB per atom
crystal system = tetragonal

CIF file:
```
data_LiZrSn2
_cell_length_a 3.282
_cell_length_b 5.181
_cell_length_c 5.181
_cell_angle_alpha 90.00
_cell_angle_beta 90.00
_cell_angle_gamma 90.00
_symmetry_space_group_name_H-M 'P 1'
_symmetry_Int_Tables_number 1
loop_
_symmetry_equiv_pos_as_xyz
'x,y,z'
loop_
_atom_site_label
_atom_site_type_symbol
_atom_site_fract_x
_atom_site_fract_y
_atom_site_fract_z
_atom_site_occupancy
Li1 Li 0.500 0.000 0.000 1
Sn1 Sn 0.000 0.500 0.000 1
Sn2 Sn 0.000 0.000 0.500 1
Zr1 Zr 0.500 0.500 0.500 1
```

=====

Record 3
Here is a geometry-optimized ErAl2GaPd2 structure from the Alexandria database. Energies are from PBE.

Values from the calculation:
ΔH_f (0 K) = -1.1 eV/f.u.
space group = P4/mmm
total magnetic moment = 0.000 μB per atom
crystal system = tetragonal

CIF file:
```
data_ErAl2GaPd2
_cell_length_a 4.617
_cell_length_b 4.617
_cell_length_c 5.567
_cell_angle_alpha 90.00
_cell_angle_beta 90.00
_cell_angle_gamma 90.00
_symmetry_space_group_name_H-M 'P 1'
_symmetry_Int_Tables_number 1
loop_
_symmetry_equiv_pos_as_xyz
'x,y,z'
loop_
_atom_site_label
_atom_site_type_symbol
_atom_site_fract_x
_atom_site_fract_y
_atom_site_fract_z
_atom_site_occupancy
Pd1 Pd 0.500 0.500 0.254 1
Pd2 Pd 0.500 0.500 0.746 1
Al1 Al 0.000 0.500 0.000 1
Al2 Al 0.500 0.000 0.000 1
Ga1 Ga 0.000 0.000 0.000 1
Er1 Er 0.000 0.000 0.500 1
```